1.
First-principles (PBE) data for an optimized crystal structure of ZnCoAu2, as listed in Alexandria via LeMat-Bulk.

Geometry as POSCAR:
```
ZnCoAu2
1.0
4.1125 0.0000 0.0000
0.0000 4.1125 0.0000
0.0000 0.0000 7.2643
Zn Co Au
2 2 4
Direct
0.0000 0.0000 0.0000
0.5000 0.5000 0.5000
0.0000 0.0000 0.5000
0.5000 0.5000 0.0000
0.0000 0.5000 0.2500
0.0000 0.5000 0.7500
0.5000 0.0000 0.2500
0.5000 0.0000 0.7500
```

Output
- E: -3.673 eV/atom

---

2.
First-principles (PBE) data for an optimized crystal structure of Zn5CoAu, as listed in Alexandria via LeMat-Bulk.

Geometry as POSCAR:
```
Zn5CoAu
1.0
3.6969 0.0000 0.0000
0.0000 3.6969 0.0000
0.0000 0.0000 7.7737
Zn Co Au
5 1 1
Direct
0.0000 0.0000 0.0000
0.0000 0.5000 0.2467
0.0000 0.5000 0.7533
0.5000 0.0000 0.2467
0.5000 0.0000 0.7533
0.5000 0.5000 0.0000
0.0000 0.0000 0.5000
```

Output
- E: -2.457 eV/atom

---

3.
First-principles (PBE) data for an optimized crystal structure of ZrZnCoAu, as listed in Alexandria via LeMat-Bulk.

Geometry as POSCAR:
```
ZrZnCoAu
1.0
6.4028 0.0000 0.0000
0.0000 6.4028 0.0000
0.0000 0.0000 6.4028
Zr Zn Co Au
4 4 4 4
Direct
0.0000 0.0000 0.0000
0.0000 0.5000 0.5000
0.5000 0.0000 0.5000
0.5000 0.5000 0.0000
0.0000 0.0000 0.5000
0.0000 0.5000 0.0000
0.5000 0.0000 0.0000
0.5000 0.5000 0.5000
0.2500 0.2500 0.2500
0.2500 0.7500 0.7500
0.7500 0.2500 0.7500
0.7500 0.7500 0.2500
0.2500 0.2500 0.7500
0.2500 0.7500 0.2500
0.7500 0.2500 0.2500
0.7500 0.7500 0.7500
```

Output
- E: -5.282 eV/atom

---

4.
First-principles (PBE) data for an optimized crystal structure of ZrCoAu2, as listed in Alexandria via LeMat-Bulk.

Geometry as POSCAR:
```
ZrCoAu2
1.0
2.9761 0.0000 0.0000
0.0000 3.7832 0.0000
0.0000 0.0000 6.1422
Zr Co Au
1 1 2
Direct
0.0000 0.0000 0.0000
0.0000 0.0000 0.5000
0.5000 0.5000 0.2753
0.5000 0.5000 0.7247
```

Output
- E: -5.708 eV/atom

---

5.
First-principles (PBE) data for an optimized crystal structure of ZrCoAu2, as listed in Alexandria via LeMat-Bulk.

Geometry as POSCAR:
```
ZrCoAu2
1.0
3.3958 0.0000 0.0000
0.0000 3.4699 0.0000
0.0000 0.0000 5.8106
Zr Co Au
1 1 2
Direct
0.0000 0.0000 0.0000
0.5000 0.5000 0.7827
0.0000 0.0000 0.5336
0.5000 0.5000 0.2766
```

Output
- E: -5.790 eV/atom

---

6.
First-principles (PBE) data for an optimized crystal structure of ZrCoAu2, as listed in Alexandria via LeMat-Bulk.

Geometry as POSCAR:
```
ZrCoAu2
1.0
3.9093 0.0000 0.0000
0.0000 3.9093 0.0000
0.0000 0.0000 8.7610
Zr Co Au
2 2 4
Direct
0.0000 0.0000 0.0000
0.5000 0.5000 0.5000
0.0000 0.0000 0.5000
0.5000 0.5000 0.0000
0.0000 0.5000 0.2500
0.0000 0.5000 0.7500
0.5000 0.0000 0.2500
0.5000 0.0000 0.7500
```

Output
- E: -5.828 eV/atom

---

7.
First-principles (PBE) data for an optimized crystal structure of Zr5Co2Au, as listed in Alexandria via LeMat-Bulk.

Geometry as POSCAR:
```
Zr5Co2Au
1.0
-3.6289 3.6289 5.8297
3.6289 -3.6289 5.8297
3.6289 3.6289 -5.8297
Zr Co Au
10 4 2
Direct
0.0000 0.0000 0.0000
0.0165 0.5165 0.8126
0.2039 0.0165 0.5000
0.2961 0.7961 0.8126
0.4835 0.2961 0.5000
0.5000 0.5000 0.0000
0.5165 0.7039 0.5000
0.7039 0.2039 0.1874
0.7961 0.9835 0.5000
0.9835 0.4835 0.1874
0.1280 0.3720 0.5000
0.3720 0.8720 0.2440
0.6280 0.1280 0.7560
0.8720 0.6280 0.5000
0.2500 0.2500 0.0000
0.7500 0.7500 0.0000
```

Output
- E: -7.846 eV/atom

---

8.
First-principles (PBE) data for an optimized crystal structure of ZrCoAu2, as listed in Alexandria via LeMat-Bulk.

Geometry as POSCAR:
```
ZrCoAu2
1.0
3.8273 0.0000 0.0000
0.0000 3.8273 0.0000
0.0000 0.0000 19.7138
Zr Co Au
4 4 8
Direct
0.0000 0.0000 0.0000
0.0000 0.5000 0.2500
0.5000 0.0000 0.7500
0.5000 0.5000 0.5000
0.0000 0.0000 0.5000
0.0000 0.5000 0.7500
0.5000 0.0000 0.2500
0.5000 0.5000 0.0000
0.2383 0.2500 0.6250
0.2500 0.7383 0.8750
0.2500 0.7617 0.3750
0.2617 0.2500 0.1250
0.7383 0.7500 0.1250
0.7500 0.2383 0.3750
0.7500 0.2617 0.8750
0.7617 0.7500 0.6250
```

Output
- E: -5.509 eV/atom

---

9.
First-principles (PBE) data for an optimized crystal structure of Zr3CoAu, as listed in Alexandria via LeMat-Bulk.

Geometry as POSCAR:
```
Zr3CoAu
1.0
4.5907 -3.1075 0.0000
4.5907 3.1075 0.0000
-3.4762 0.0000 7.0420
Zr Co Au
6 2 2
Direct
0.0255 0.0255 0.2248
0.2934 0.2934 0.6964
0.3079 0.3079 0.1163
0.6921 0.6921 0.8837
0.7066 0.7066 0.3036
0.9745 0.9745 0.7752
0.2989 0.7011 0.0000
0.7011 0.2989 0.0000
0.2808 0.7192 0.5000
0.7192 0.2808 0.5000
```

Output
- E: -7.499 eV/atom
- E above lowest polymorph: 0.00 eV/f.u.

---

10.
First-principles (PBE) data for an optimized crystal structure of ZrCoAu2, as listed in Alexandria via LeMat-Bulk.

Geometry as POSCAR:
```
ZrCoAu2
1.0
6.5004 0.0000 0.0000
0.0000 6.5004 0.0000
0.0000 0.0000 6.5004
Zr Co Au
4 4 8
Direct
0.0000 0.0000 0.0000
0.0000 0.5000 0.5000
0.5000 0.0000 0.5000
0.5000 0.5000 0.0000
0.2500 0.2500 0.2500
0.2500 0.7500 0.7500
0.7500 0.2500 0.7500
0.7500 0.7500 0.2500
0.0000 0.0000 0.5000
0.0000 0.5000 0.0000
0.2500 0.2500 0.7500
0.2500 0.7500 0.2500
0.5000 0.0000 0.0000
0.5000 0.5000 0.5000
0.7500 0.2500 0.2500
0.7500 0.7500 0.7500
```

Output
- E: -5.754 eV/atom

---

11.
First-principles (PBE) data for an optimized crystal structure of ZrCoAu2, as listed in Alexandria via LeMat-Bulk.

Geometry as POSCAR:
```
ZrCoAu2
1.0
4.0489 0.0000 0.0000
0.0000 4.0489 0.0000
0.0000 0.0000 4.1512
Zr Co Au
1 1 2
Direct
0.0000 0.0000 0.0000
0.5000 0.5000 0.0000
0.0000 0.5000 0.5000
0.5000 0.0000 0.5000
```

Output
- E: -5.711 eV/atom

---

12.
First-principles (PBE) data for an optimized crystal structure of ZrCoAu2, as listed in Alexandria via LeMat-Bulk.

Geometry as POSCAR:
```
ZrCoAu2
1.0
2.9629 0.0000 0.0000
0.0000 4.6442 0.0000
0.0000 0.0000 5.0362
Zr Co Au
1 1 2
Direct
0.0000 0.0000 0.0000
0.0000 0.5000 0.3166
0.5000 0.0000 0.4817
0.5000 0.5000 0.8076
```

Output
- E: -5.668 eV/atom

---

13.
First-principles (PBE) data for an optimized crystal structure of ZrCo3Au, as listed in Alexandria via LeMat-Bulk.

Geometry as POSCAR:
```
ZrCo3Au
1.0
4.6146 0.0000 0.0000
0.0000 4.6146 0.0000
0.0000 0.0000 4.6146
Zr Co Au
1 3 1
Direct
0.0000 0.0000 0.0000
0.0000 0.5000 0.5000
0.5000 0.0000 0.5000
0.5000 0.5000 0.0000
0.5000 0.5000 0.5000
```

Output
- E: -5.408 eV/atom
- E above lowest polymorph: 0.00 eV/f.u.

---

14.
First-principles (PBE) data for an optimized crystal structure of Zr6CoAu2, as listed in Alexandria via LeMat-Bulk.

Geometry as POSCAR:
```
Zr6CoAu2
1.0
7.9469 0.0000 0.0000
-3.9734 6.8822 0.0000
0.0000 0.0000 3.3605
Zr Co Au
6 1 2
Direct
0.0000 0.3981 0.0000
0.0000 0.7578 0.5000
0.2422 0.2422 0.5000
0.3981 0.0000 0.0000
0.6019 0.6019 0.0000
0.7578 0.0000 0.5000
0.0000 0.0000 0.0000
0.3333 0.6667 0.5000
0.6667 0.3333 0.5000
```

Output
- E: -7.565 eV/atom

---

15.
First-principles (PBE) data for an optimized crystal structure of Zr2Co2Au, as listed in Alexandria via LeMat-Bulk.

Geometry as POSCAR:
```
Zr2Co2Au
1.0
3.5271 0.0000 0.0000
0.0000 3.5271 0.0000
0.0000 0.0000 14.3632
Zr Co Au
4 4 2
Direct
0.0000 0.0000 0.1210
0.0000 0.0000 0.8790
0.5000 0.5000 0.3790
0.5000 0.5000 0.6210
0.0000 0.5000 0.2500
0.0000 0.5000 0.7500
0.5000 0.0000 0.2500
0.5000 0.0000 0.7500
0.0000 0.0000 0.5000
0.5000 0.5000 0.0000
```

Output
- E: -7.031 eV/atom
- E above lowest polymorph: 1.48 eV/f.u.

---

16.
First-principles (PBE) data for an optimized crystal structure of ZrCoAu2, as listed in Alexandria via LeMat-Bulk.

Geometry as POSCAR:
```
ZrCoAu2
1.0
5.5093 0.0000 0.0000
0.0000 8.0919 0.0000
0.0000 0.0000 3.1172
Zr Co Au
2 2 4
Direct
0.0000 0.0000 0.0000
0.5000 0.5000 0.0000
0.0000 0.5000 0.0000
0.5000 0.0000 0.0000
0.2500 0.2500 0.5000
0.2500 0.7500 0.5000
0.7500 0.2500 0.5000
0.7500 0.7500 0.5000
```

Output
- E: -5.612 eV/atom

---

17.
First-principles (PBE) data for an optimized crystal structure of ZrCoAu2, as listed in Alexandria via LeMat-Bulk.

Geometry as POSCAR:
```
ZrCoAu2
1.0
2.9802 0.0000 0.0000
-1.4901 2.5809 0.0000
0.0000 0.0000 27.3838
Zr Co Au
3 3 6
Direct
0.0000 0.0000 0.0000
0.3333 0.6667 0.6667
0.6667 0.3333 0.3333
0.0000 0.0000 0.5000
0.3333 0.6667 0.1667
0.6667 0.3333 0.8333
0.0000 0.0000 0.2429
0.0000 0.0000 0.7571
0.3333 0.6667 0.4237
0.3333 0.6667 0.9096
0.6667 0.3333 0.0904
0.6667 0.3333 0.5763
```

Output
- E: -5.442 eV/atom

---

18.
First-principles (PBE) data for an optimized crystal structure of Zr6CoAu, as listed in Alexandria via LeMat-Bulk.

Geometry as POSCAR:
```
Zr6CoAu
1.0
6.1759 0.0000 0.0000
0.0000 9.3828 0.0000
-1.0727 0.0000 5.7138
Zr Co Au
12 2 2
Direct
0.1355 0.2061 0.2564
0.1355 0.7939 0.2564
0.2475 0.5000 0.1058
0.2525 0.0000 0.8942
0.3645 0.2939 0.7436
0.3645 0.7061 0.7436
0.6355 0.2939 0.2564
0.6355 0.7061 0.2564
0.7475 0.0000 0.1058
0.7525 0.5000 0.8942
0.8645 0.2061 0.7436
0.8645 0.7939 0.7436
0.0000 0.0000 0.5000
0.5000 0.5000 0.5000
0.0000 0.5000 0.5000
0.5000 0.0000 0.5000
```

Output
- E: -7.836 eV/atom

---

19.
First-principles (PBE) data for an optimized crystal structure of ZrCo3Au, as listed in Alexandria via LeMat-Bulk.

Geometry as POSCAR:
```
ZrCo3Au
1.0
4.5107 0.0000 0.0000
0.0000 4.5107 0.0000
0.0000 0.0000 4.5107
Zr Co Au
1 3 1
Direct
0.0000 0.0000 0.0000
0.0000 0.0000 0.5000
0.0000 0.5000 0.0000
0.5000 0.0000 0.0000
0.5000 0.5000 0.5000
```

Output
- E: -5.234 eV/atom
- E above lowest polymorph: 0.87 eV/f.u.

---

20.
First-principles (PBE) data for an optimized crystal structure of ZrCo4Au, as listed in Alexandria via LeMat-Bulk.

Geometry as POSCAR:
```
ZrCo4Au
1.0
0.0000 3.4379 3.4379
3.4379 0.0000 3.4379
3.4379 3.4379 0.0000
Zr Co Au
1 4 1
Direct
0.0000 0.0000 0.0000
0.1261 0.6246 0.6246
0.6246 0.1261 0.6246
0.6246 0.6246 0.1261
0.6246 0.6246 0.6246
0.2500 0.2500 0.2500
```

Output
- E: -6.928 eV/atom

---

21.
First-principles (PBE) data for an optimized crystal structure of Zr2Co2Au, as listed in Alexandria via LeMat-Bulk.

Geometry as POSCAR:
```
Zr2Co2Au
1.0
7.0482 0.0000 0.0000
0.0000 7.0482 0.0000
0.0000 0.0000 3.2969
Zr Co Au
4 4 2
Direct
0.1682 0.3318 0.0000
0.3318 0.8318 0.0000
0.6682 0.1682 0.0000
0.8318 0.6682 0.0000
0.1302 0.6302 0.5000
0.3698 0.1302 0.5000
0.6302 0.8698 0.5000
0.8698 0.3698 0.5000
0.0000 0.0000 0.5000
0.5000 0.5000 0.5000
```

Output
- E: -7.326 eV/atom
- E above lowest polymorph: 0.00 eV/f.u.

---

22.
First-principles (PBE) data for an optimized crystal structure of ZrCoAu2, as listed in Alexandria via LeMat-Bulk.

Geometry as POSCAR:
```
ZrCoAu2
1.0
4.0692 0.0000 0.0000
0.0000 4.0692 0.0000
0.0000 0.0000 8.0905
Zr Co Au
2 2 4
Direct
0.0000 0.0000 0.0000
0.5000 0.5000 0.5000
0.0000 0.5000 0.2500
0.5000 0.0000 0.7500
0.0000 0.0000 0.5000
0.0000 0.5000 0.7500
0.5000 0.0000 0.2500
0.5000 0.5000 0.0000
```

Output
- E: -5.833 eV/atom

---

23.
First-principles (PBE) data for an optimized crystal structure of Zr3CoAu, as listed in Alexandria via LeMat-Bulk.

Geometry as POSCAR:
```
Zr3CoAu
1.0
4.7869 0.0000 0.0000
0.0000 4.7869 0.0000
0.0000 0.0000 4.7869
Zr Co Au
3 1 1
Direct
0.0000 0.0000 0.5000
0.0000 0.5000 0.0000
0.5000 0.0000 0.0000
0.0000 0.0000 0.0000
0.5000 0.5000 0.5000
```

Output
- E: -7.128 eV/atom
- E above lowest polymorph: 1.86 eV/f.u.

---

24.
First-principles (PBE) data for an optimized crystal structure of Cr5Au, as listed in Alexandria via LeMat-Bulk.

Geometry as POSCAR:
```
Cr5Au
1.0
9.1332 0.0000 0.0000
0.0000 2.9409 0.0000
-1.7730 0.0000 5.7192
Cr Au
10 2
Direct
0.0000 0.0000 0.0000
0.1723 0.5000 0.8446
0.1782 0.5000 0.2999
0.3218 0.0000 0.7001
0.3277 0.0000 0.1554
0.5000 0.5000 0.0000
0.6723 0.0000 0.8446
0.6782 0.0000 0.2999
0.8218 0.5000 0.7001
0.8277 0.5000 0.1554
0.0000 0.0000 0.5000
0.5000 0.5000 0.5000
```

Output
- E: -8.294 eV/atom
- E above lowest polymorph: 0.31 eV/f.u.

---

25.
First-principles (PBE) data for an optimized crystal structure of Cr3Au, as listed in Alexandria via LeMat-Bulk.

Geometry as POSCAR:
```
Cr3Au
1.0
5.7781 0.0000 0.0000
0.0000 6.7039 0.0000
0.0000 0.0000 3.0483
Cr Au
6 2
Direct
0.0000 0.0000 0.0000
0.2500 0.2500 0.5000
0.2500 0.7500 0.5000
0.5000 0.5000 0.0000
0.7500 0.2500 0.5000
0.7500 0.7500 0.5000
0.0000 0.5000 0.0000
0.5000 0.0000 0.0000
```

Output
- E: -7.727 eV/atom

---

26.
First-principles (PBE) data for an optimized crystal structure of Cr3Au, as listed in Alexandria via LeMat-Bulk.

Geometry as POSCAR:
```
Cr3Au
1.0
4.1214 0.0000 0.0000
0.0000 4.1214 0.0000
0.0000 0.0000 14.0030
Cr Au
12 4
Direct
0.0000 0.0000 0.1232
0.0000 0.0000 0.8768
0.0000 0.5000 0.0000
0.0000 0.5000 0.2500
0.0000 0.5000 0.5000
0.0000 0.5000 0.7500
0.5000 0.0000 0.0000
0.5000 0.0000 0.2500
0.5000 0.0000 0.5000
0.5000 0.0000 0.7500
0.5000 0.5000 0.3768
0.5000 0.5000 0.6232
0.0000 0.0000 0.3751
0.0000 0.0000 0.6249
0.5000 0.5000 0.1249
0.5000 0.5000 0.8751
```

Output
- E: -7.757 eV/atom

---

27.
First-principles (PBE) data for an optimized crystal structure of Cr4Au, as listed in Alexandria via LeMat-Bulk.

Geometry as POSCAR:
```
Cr4Au
1.0
6.5899 0.0000 0.0000
0.0000 6.5899 0.0000
0.0000 0.0000 2.9603
Cr Au
8 2
Direct
0.1164 0.6753 0.0000
0.1753 0.3836 0.5000
0.3247 0.1164 0.0000
0.3836 0.8247 0.5000
0.6164 0.1753 0.5000
0.6753 0.8836 0.0000
0.8247 0.6164 0.5000
0.8836 0.3247 0.0000
0.0000 0.0000 0.5000
0.5000 0.5000 0.0000
```

Output
- E: -8.073 eV/atom
- E above lowest polymorph: 0.00 eV/f.u.

---

| no. | energy relative to the elements (kJ/mol of formula units) |
| --- | --- |
| 1 | 23.4 |
| 2 | -42.9 |
| 3 | -89.0 |
| 4 | -59.9 |
| 5 | -91.6 |
| 6 | -106.4 |
| 7 | -244.9 |
| 8 | 16.6 |
| 9 | -141.6 |
| 10 | -77.9 |
| 11 | -61.1 |
| 12 | -44.9 |
| 13 | 588.7 |
| 14 | -302.6 |
| 15 | -54.9 |
| 16 | -22.9 |
| 17 | 42.5 |
| 18 | -98.4 |
| 19 | 672.8 |
| 20 | -127.2 |
| 21 | -197.3 |
| 22 | -108.3 |
| 23 | 37.6 |
| 24 | 157.3 |
| 25 | 119.8 |
| 26 | 108.1 |
| 27 | 135.6 |